# 1
Density functional theory data (GGA-PBE) for a geometry-optimized Pm2BeGe4Ir3 structure.

Cell: 4.233 4.233 10.222 Å, 90.00 90.00 90.00°
Sites, in units of the cell vectors:
Pm 0.000 0.500 0.249
Pm 0.500 0.000 0.751
Be 0.000 0.000 0.500
Ge 0.000 0.000 0.000
Ge 0.000 0.500 0.631
Ge 0.500 0.000 0.369
Ge 0.500 0.500 0.000
Ir 0.000 0.500 0.872
Ir 0.500 0.000 0.128
Ir 0.500 0.500 0.500

total magnetization = 0.0 μB per formula unit
ΔH_f (0 K) = -0.63 eV/atom
crystal system = tetragonal
D(E_F) = 6.6 states/eV per cell

# 2
Density functional theory data (GGA-PBE) for a geometry-optimized Pm2Be3Ge4Ir structure.

Cell: 4.085 4.085 10.053 Å, 90.00 90.00 90.00°
Sites, in units of the cell vectors:
Pm 0.000 0.500 0.247
Pm 0.500 0.000 0.753
Be 0.000 0.500 0.870
Be 0.500 0.000 0.130
Be 0.500 0.500 0.500
Ge 0.000 0.000 0.000
Ge 0.000 0.500 0.640
Ge 0.500 0.000 0.360
Ge 0.500 0.500 0.000
Ir 0.000 0.000 0.500

total magnetization = 0.0 μB per formula unit
ΔH_f (0 K) = -0.45 eV/atom
crystal system = tetragonal
D(E_F) = 5.1 states/eV per cell

# 3
Density functional theory data (GGA-PBE) for a geometry-optimized Pr2Be3Ge4Ir structure.

Cell: 4.121 4.121 10.104 Å, 90.00 90.00 90.00°
Sites, in units of the cell vectors:
Pr 0.000 0.500 0.247
Pr 0.500 0.000 0.753
Be 0.000 0.500 0.871
Be 0.500 0.000 0.129
Be 0.500 0.500 0.500
Ge 0.000 0.000 0.000
Ge 0.000 0.500 0.638
Ge 0.500 0.000 0.362
Ge 0.500 0.500 0.000
Ir 0.000 0.000 0.500

total magnetization = 0.0 μB per formula unit
ΔH_f (0 K) = -0.44 eV/atom
crystal system = tetragonal
D(E_F) = 5.5 states/eV per cell

# 4
Density functional theory data (GGA-PBE) for a geometry-optimized Pr2BeGe4Ir3 structure.

Cell: 4.276 4.276 10.188 Å, 90.00 90.00 90.00°
Sites, in units of the cell vectors:
Pr 0.000 0.500 0.249
Pr 0.500 0.000 0.751
Be 0.000 0.000 0.500
Ge 0.000 0.000 0.000
Ge 0.000 0.500 0.630
Ge 0.500 0.000 0.370
Ge 0.500 0.500 0.000
Ir 0.000 0.500 0.874
Ir 0.500 0.000 0.126
Ir 0.500 0.500 0.500

total magnetization = 0.0 μB per formula unit
ΔH_f (0 K) = -0.63 eV/atom
crystal system = tetragonal
D(E_F) = 7.0 states/eV per cell

# 5
Density functional theory data (GGA-PBE) for a geometry-optimized Be2GeIrPt structure.

Cell: 4.205 4.205 4.641 Å, 90.00 90.00 90.00°
Sites, in units of the cell vectors:
Be 0.000 0.500 0.000
Be 0.500 0.000 0.000
Ge 0.000 0.000 0.500
Ir 0.000 0.000 0.000
Pt 0.500 0.500 0.500

total magnetization = 0.0 μB per formula unit
ΔH_f (0 K) = 0.36 eV/atom
crystal system = tetragonal
D(E_F) = 2.8 states/eV per cell

# 6
Density functional theory data (GGA-PBE) for a geometry-optimized Be2GeIrPt structure.

Cell: 4.070 4.070 4.711 Å, 90.00 90.00 90.00°
Sites, in units of the cell vectors:
Be 0.000 0.500 0.000
Be 0.500 0.000 0.000
Ge 0.000 0.000 0.000
Ir 0.500 0.500 0.500
Pt 0.000 0.000 0.500

total magnetization = 0.0 μB per formula unit
ΔH_f (0 K) = 0.96 eV/atom
crystal system = tetragonal
D(E_F) = 3.7 states/eV per cell

# 7
Density functional theory data (GGA-PBE) for a geometry-optimized Pu2Be3Ge4Ir structure.

Cell: 4.050 4.050 9.877 Å, 90.00 90.00 90.00°
Sites, in units of the cell vectors:
Pu 0.000 0.500 0.242
Pu 0.500 0.000 0.758
Be 0.000 0.500 0.872
Be 0.500 0.000 0.128
Be 0.500 0.500 0.500
Ge 0.000 0.000 0.000
Ge 0.000 0.500 0.643
Ge 0.500 0.000 0.357
Ge 0.500 0.500 0.000
Ir 0.000 0.000 0.500

total magnetization = 10.8 μB per formula unit
ΔH_f (0 K) = -0.31 eV/atom
crystal system = tetragonal
D(E_F) = 18.0 states/eV per cell

# 8
Density functional theory data (GGA-PBE) for a geometry-optimized BeReGeIr2 structure.

Cell: 4.502 4.502 4.562 Å, 90.00 90.00 90.00°
Sites, in units of the cell vectors:
Be 0.000 0.000 0.000
Re 0.500 0.500 0.000
Ge 0.500 0.500 0.500
Ir 0.000 0.500 0.500
Ir 0.500 0.000 0.500

total magnetization = 1.4 μB per formula unit
ΔH_f (0 K) = 1.61 eV/atom
crystal system = tetragonal
D(E_F) = 4.0 states/eV per cell

# 9
Density functional theory data (GGA-PBE) for a geometry-optimized BeGeSbIr2 structure.

Cell: 4.330 4.330 4.533 Å, 90.00 90.00 90.00°
Sites, in units of the cell vectors:
Be 0.000 0.000 0.000
Ge 0.500 0.500 0.500
Sb 0.000 0.000 0.500
Ir 0.000 0.500 0.000
Ir 0.500 0.000 0.000

energy relative to the elements, uncorrected = 3.0 eV per formula unit
total magnetization = 0.0 μB per formula unit
crystal system = tetragonal
D(E_F) = 3.6 states/eV per cell

# 10
Density functional theory data (GGA-PBE) for a geometry-optimized Sm2Be3Ge4Ir structure.

Cell: 4.073 4.073 10.041 Å, 90.00 90.00 90.00°
Sites, in units of the cell vectors:
Sm 0.000 0.500 0.247
Sm 0.500 0.000 0.753
Be 0.000 0.500 0.870
Be 0.500 0.000 0.130
Be 0.500 0.500 0.500
Ge 0.000 0.000 0.000
Ge 0.000 0.500 0.640
Ge 0.500 0.000 0.360
Ge 0.500 0.500 0.000
Ir 0.000 0.000 0.500

total magnetization = 0.0 μB per formula unit
ΔH_f (0 K) = -0.44 eV/atom
crystal system = tetragonal
D(E_F) = 5.0 states/eV per cell

# 11
Density functional theory data (GGA-PBE) for a geometry-optimized Sm2BeGe4Ir3 structure.

Cell: 4.216 4.216 10.246 Å, 90.00 90.00 90.00°
Sites, in units of the cell vectors:
Sm 0.000 0.500 0.249
Sm 0.500 0.000 0.751
Be 0.000 0.000 0.500
Ge 0.000 0.000 0.000
Ge 0.000 0.500 0.631
Ge 0.500 0.000 0.369
Ge 0.500 0.500 0.000
Ir 0.000 0.500 0.871
Ir 0.500 0.000 0.129
Ir 0.500 0.500 0.500

total magnetization = 0.0 μB per formula unit
ΔH_f (0 K) = -0.63 eV/atom
crystal system = tetragonal
D(E_F) = 6.5 states/eV per cell

# 12
Density functional theory data (GGA-PBE) for a geometry-optimized Tb2Be4Ge3Ir structure.

Cell: 3.889 3.889 10.011 Å, 90.00 90.00 90.00°
Sites, in units of the cell vectors:
Tb 0.000 0.500 0.250
Tb 0.500 0.000 0.750
Be 0.000 0.000 0.000
Be 0.000 0.500 0.633
Be 0.500 0.000 0.367
Be 0.500 0.500 0.000
Ge 0.000 0.500 0.866
Ge 0.500 0.000 0.134
Ge 0.500 0.500 0.500
Ir 0.000 0.000 0.500

total magnetization = 0.0 μB per formula unit
ΔH_f (0 K) = -0.49 eV/atom
crystal system = tetragonal
D(E_F) = 5.0 states/eV per cell

# 13
Density functional theory data (GGA-PBE) for a geometry-optimized Tb2BeGe4Ir3 structure.

Cell: 4.153 4.153 10.358 Å, 90.00 90.00 90.00°
Sites, in units of the cell vectors:
Tb 0.000 0.500 0.249
Tb 0.500 0.000 0.751
Be 0.500 0.500 0.000
Ge 0.000 0.000 0.500
Ge 0.000 0.500 0.868
Ge 0.500 0.000 0.132
Ge 0.500 0.500 0.500
Ir 0.000 0.000 0.000
Ir 0.000 0.500 0.632
Ir 0.500 0.000 0.368

total magnetization = 0.0 μB per formula unit
ΔH_f (0 K) = -0.62 eV/atom
crystal system = tetragonal
D(E_F) = 6.0 states/eV per cell

# 14
Density functional theory data (GGA-PBE) for a geometry-optimized Th2BeGe4Ir3 structure.

Cell: 4.253 4.253 10.187 Å, 90.00 90.00 90.00°
Sites, in units of the cell vectors:
Th 0.000 0.500 0.248
Th 0.500 0.000 0.752
Be 0.500 0.500 0.000
Ge 0.000 0.000 0.500
Ge 0.000 0.500 0.871
Ge 0.500 0.000 0.129
Ge 0.500 0.500 0.500
Ir 0.000 0.000 0.000
Ir 0.000 0.500 0.629
Ir 0.500 0.000 0.371

total magnetization = 0.0 μB per formula unit
ΔH_f (0 K) = -0.69 eV/atom
crystal system = tetragonal
D(E_F) = 3.8 states/eV per cell

# 15
Density functional theory data (GGA-PBE) for a geometry-optimized Th2BeGe3Ir4 structure.

Cell: 4.217 4.217 10.166 Å, 90.00 90.00 90.00°
Sites, in units of the cell vectors:
Th 0.000 0.500 0.238
Th 0.500 0.000 0.762
Be 0.500 0.500 0.000
Ge 0.000 0.000 0.000
Ge 0.000 0.500 0.634
Ge 0.500 0.000 0.366
Ir 0.000 0.000 0.500
Ir 0.000 0.500 0.875
Ir 0.500 0.000 0.125
Ir 0.500 0.500 0.500

total magnetization = 0.0 μB per formula unit
ΔH_f (0 K) = -0.77 eV/atom
crystal system = tetragonal
D(E_F) = 5.7 states/eV per cell

# 16
Density functional theory data (GGA-PBE) for a geometry-optimized Th2Be3GeIr4 structure.

Cell: 4.135 4.135 9.688 Å, 90.00 90.00 90.00°
Sites, in units of the cell vectors:
Th 0.000 0.500 0.234
Th 0.500 0.000 0.766
Be 0.000 0.500 0.888
Be 0.500 0.000 0.112
Be 0.500 0.500 0.500
Ge 0.000 0.000 0.500
Ir 0.000 0.000 0.000
Ir 0.000 0.500 0.640
Ir 0.500 0.000 0.360
Ir 0.500 0.500 0.000

total magnetization = 0.0 μB per formula unit
ΔH_f (0 K) = -0.72 eV/atom
crystal system = tetragonal
D(E_F) = 7.7 states/eV per cell

# 17
Density functional theory data (GGA-PBE) for a geometry-optimized U2Be4Ge3Ir structure.

Cell: 3.945 3.945 9.654 Å, 90.00 90.00 90.00°
Sites, in units of the cell vectors:
U 0.000 0.500 0.247
U 0.500 0.000 0.753
Be 0.000 0.000 0.500
Be 0.000 0.500 0.868
Be 0.500 0.000 0.132
Be 0.500 0.500 0.500
Ge 0.000 0.000 0.000
Ge 0.000 0.500 0.633
Ge 0.500 0.000 0.367
Ir 0.500 0.500 0.000

total magnetization = 4.7 μB per formula unit
ΔH_f (0 K) = -0.22 eV/atom
crystal system = tetragonal
D(E_F) = 14.9 states/eV per cell

# 18
Density functional theory data (GGA-PBE) for a geometry-optimized UBe2GeIr2 structure.

Cell: 4.112 4.112 5.480 Å, 90.00 90.00 90.00°
Sites, in units of the cell vectors:
U 0.000 0.000 0.000
Be 0.000 0.500 0.500
Be 0.500 0.000 0.500
Ge 0.000 0.000 0.500
Ir 0.500 0.500 0.246
Ir 0.500 0.500 0.754

total magnetization = 1.6 μB per formula unit
ΔH_f (0 K) = 0.15 eV/atom
crystal system = tetragonal
D(E_F) = 6.5 states/eV per cell

# 19
Density functional theory data (GGA-PBE) for a geometry-optimized BeGe2IrW structure.

Cell: 4.766 4.766 4.316 Å, 90.00 90.00 90.00°
Sites, in units of the cell vectors:
Be 0.000 0.000 0.000
Ge 0.000 0.500 0.500
Ge 0.500 0.000 0.500
Ir 0.500 0.500 0.000
W 0.000 0.000 0.500

total magnetization = 1.3 μB per formula unit
ΔH_f (0 K) = 1.41 eV/atom
crystal system = tetragonal
D(E_F) = 4.7 states/eV per cell

# 20
Density functional theory data (GGA-PBE) for a geometry-optimized Y2Be4Ge3Ir structure.

Cell: 3.881 3.881 10.025 Å, 90.00 90.00 90.00°
Sites, in units of the cell vectors:
Y 0.000 0.500 0.250
Y 0.500 0.000 0.750
Be 0.000 0.000 0.000
Be 0.000 0.500 0.633
Be 0.500 0.000 0.367
Be 0.500 0.500 0.000
Ge 0.000 0.500 0.866
Ge 0.500 0.000 0.134
Ge 0.500 0.500 0.500
Ir 0.000 0.000 0.500

total magnetization = 0.0 μB per formula unit
ΔH_f (0 K) = -0.49 eV/atom
crystal system = tetragonal
D(E_F) = 4.6 states/eV per cell